First-principles (PBE) data for a relaxed structure of TaTl2CuO4, as listed in Alexandria.

a b c (Å): 5.806 5.806 5.806
angles (deg): 95.93 116.64 116.64
Element x y z (fractional)
Cu (0.000, 0.500, 0.500)
O (0.592, 0.332, 0.485)
O (0.847, 0.515, 0.107)
O (0.153, 0.260, 0.668)
O (0.408, 0.893, 0.740)
Tl (0.500, 0.750, 0.250)
Tl (0.000, 0.000, 0.000)
Ta (0.500, 0.250, 0.750)

Raw formation energy, meV per atom: -1472.4
Crystal system: tetragonal



First-principles (PBE) data for a relaxed structure of BaCo2Pb, as listed in Alexandria.

a b c (Å): 3.750 3.628 7.909
angles (deg): 62.63 90.00 90.00
Site moments in Bohr magnetons follow the coordinates.
Element x y z (fractional)
Co (0.000, 0.591, 0.410)  1.50
Co (0.000, 0.909, 0.090)  1.50
Ba (0.500, 0.750, 0.750)  -0.09
Pb (0.500, 0.250, 0.250)  -0.03

Density of states at the Fermi level, states/eV per cell: 6.28
Energy above the lowest structure with this stoichiometry, eV per atom: 0.452
Energy of formation from the pure elements, eV/f.u.: 2.2
Crystal system: monoclinic



First-principles (PBE) data for a relaxed structure of HoTiGa, as listed in Alexandria.

a b c (Å): 3.643 4.539 4.539
angles (deg): 120.00 90.00 90.00
Element x y z (fractional)
Ho (0.667, 0.667, 0.333)
Ti (0.167, 0.333, 0.667)
Ga (0.166, 0.000, 0.000)

Density of states at the Fermi level, states/eV per cell: 2.23
Energy above the lowest structure with this stoichiometry, eV per atom: 0.222
Energy of formation from the pure elements, eV/f.u.: -0.5
Crystal system: hexagonal